(1)
A plane-wave DFT calculation with PBE was carried out for crystalline La2ScAl at its relaxed geometry.

abc: 3.8058 5.4175 11.1923
angles: 90.00 90.00 90.00
With the nearest neighbours (Å) after each atom.
Space group Imm2 (No. 44)
Inequivalent atoms, fractional coordinates:
La (0.0000, 0.0000, 0.0000) (multiplicity 2)  2 Al 3.29, 4 Sc 3.39, 2 La 3.61
La (0.0000, 0.5000, 0.2129) (multiplicity 2)  4 Al 3.32, 2 La 3.61, 4 Sc 3.66-3.67
Sc (0.0000, 0.0000, 0.4338) (multiplicity 2)  2 Al 2.88
Al (0.0000, 0.5000, 0.7403) (multiplicity 2)  2 Sc 2.88

- density of states at the Fermi level (states/eV per cell) = 9.0
- volume (Å³ per atom) = 28.85
- energy of formation from the pure elements (kJ/mol of atoms) = -16.2

***

(2)
A plane-wave DFT calculation with PBE was carried out for crystalline CsPdPb2 at its relaxed geometry.

abc: 6.4362 7.0966 7.2223
angles: 65.42 87.11 64.17
With the nearest neighbours (Å) after each atom.
Space group P-1 (No. 2)
Inequivalent atoms, fractional coordinates:
Cs (0.2212, 0.3440, 0.2389) (multiplicity 2)  3 Pd 3.44-3.64, 1 Cs 3.75, 2 Pb 3.81-3.84
Pd (0.2101, 0.7902, 0.5354) (multiplicity 2)  4 Pb 2.81-2.87, 1 Pd 2.88
Pb (0.1417, 0.0054, 0.8078) (multiplicity 2)  2 Pd 2.84-2.87
Pb (0.4787, 0.3044, 0.7422) (multiplicity 2)  2 Pd 2.81-2.83

- density of states at the Fermi level (states/eV per cell) = 3.8
- volume (Å³ per atom) = 33.32
- energy of formation from the pure elements (kJ/mol of atoms) = -14.8

***

(3)
A plane-wave DFT calculation with PBE was carried out for crystalline BaLi2Mn at its relaxed geometry.

abc: 3.6582 3.6582 28.7347
angles: 90.00 90.00 120.00
With the nearest neighbours (Å) after each atom.
Space group R-3m (No. 166, hexagonal axes)
Inequivalent atoms, fractional coordinates:
Ba (0.0000, 0.0000, 0.0000) (multiplicity 3)  6 Li 3.62, 6 Ba 3.66
Li (0.0000, 0.0000, 0.2312) (multiplicity 6)  3 Mn 2.81
Mn (0.0000, 0.0000, 0.5000) (multiplicity 3)  6 Li 2.81

- energy above the most stable polymorph in this dataset (eV/atom) = 0.232
- density of states at the Fermi level (states/eV per cell) = 11.8
- volume (Å³ per atom) = 27.75
- energy of formation from the pure elements (kJ/mol of atoms) = 57.5